A plane-wave DFT calculation with GGA-PBE was carried out for a relaxed structure of KTaP2.

a = 3.4988 Å, b = 3.4988 Å, c = 8.1771 Å
α = 90.00°, β = 90.00°, γ = 90.00°
Fractional positions:
1 K 0.5000 0.5000 0.7846
2 P 0.0000 0.0000 0.0267
3 P 0.5000 0.5000 0.3878
4 Ta 0.0000 0.0000 0.3008

## Properties
- crystal system = tetragonal
- distance to the lowest polymorph of the same formula (eV/atom) = 0.298
- space group = P4mm (99)
- DOS at the Fermi energy (states/eV/cell) = 1.95

A plane-wave DFT calculation with GGA-PBE was carried out for a relaxed structure of KTaP.

a = 4.8232 Å, b = 4.8232 Å, c = 4.8232 Å
α = 60.00°, β = 60.00°, γ = 60.00°
Last column: magnetic moment on the atom in μB.
Fractional positions:
1 K 0.2500 0.2500 0.2500  0.10
2 P 0.0000 0.0000 0.0000  -0.18
3 Ta 0.5000 0.5000 0.5000  2.15

## Properties
- crystal system = cubic
- distance to the lowest polymorph of the same formula (eV/atom) = 2.037
- space group = F-43m (216)
- DOS at the Fermi energy (states/eV/cell) = 5.57

A plane-wave DFT calculation with GGA-PBE was carried out for a relaxed structure of KTa2P.

a = 8.5895 Å, b = 8.5895 Å, c = 8.5895 Å
α = 158.31°, β = 154.00°, γ = 34.11°
Fractional positions:
1 K 0.4266 0.4266 0.0000
2 P 0.2311 0.7311 0.5000
3 Ta 0.1118 0.1118 0.0000
4 Ta 0.7305 0.2305 0.5000

## Properties
- crystal system = orthorhombic
- space group = Imm2 (44)
- DOS at the Fermi energy (states/eV/cell) = 3.48

Number 1: M_tot 0.000 μB/atom, E_tot -6.125 eV/atom, formation enthalpy at 0 K -183 meV per atom. Number 2: M_tot 1.000 μB/atom, E_tot -4.002 eV/atom, formation enthalpy at 0 K 2118 meV per atom. Number 3: M_tot 0.000 μB/atom, E_tot -7.190 eV/atom, formation enthalpy at 0 K 363 meV per atom.